1.
Here is a relaxed DyNb4Se8 crystal from the Alexandria database. Energies are from GGA-PBE.

Computed properties:
space-group type: R-3m
formation energy from raw total energies: -22.1 kcal/mol of atoms
volume: 23.3 A^3/atom
calculated total energy: -6.55 eV/atom

Structure (POSCAR):
```
DyNb4Se8
1.0
3.554 2.052 6.939
-3.554 2.052 6.939
0.000 -4.103 6.939
Dy Nb Se
1 4 8
direct
0.000 0.000 0.000 Dy
0.000 0.000 0.500 Nb
0.000 0.500 0.000 Nb
0.500 0.000 0.000 Nb
0.500 0.500 0.500 Nb
0.246 0.246 0.246 Se
0.258 0.258 0.742 Se
0.258 0.742 0.258 Se
0.258 0.742 0.742 Se
0.742 0.258 0.258 Se
0.742 0.258 0.742 Se
0.742 0.742 0.258 Se
0.754 0.754 0.754 Se
```



2.
Here is a relaxed Dy3NbSe6 crystal from the Alexandria database. Energies are from GGA-PBE.

Computed properties:
space-group type: Cmc2_1
formation energy from raw total energies: -32.8 kcal/mol of atoms
volume: 26.0 A^3/atom
calculated total energy: -5.90 eV/atom

Structure (POSCAR):
```
Dy3NbSe6
1.0
5.594 -6.795 0.000
5.594 6.795 0.000
0.000 0.000 6.835
Dy Nb Se
6 2 12
direct
0.101 0.899 0.500 Dy
0.212 0.420 0.390 Dy
0.420 0.212 0.890 Dy
0.580 0.788 0.390 Dy
0.788 0.580 0.890 Dy
0.899 0.101 0.000 Dy
0.341 0.659 0.871 Nb
0.659 0.341 0.371 Nb
0.082 0.592 0.697 Se
0.132 0.194 0.696 Se
0.194 0.132 0.196 Se
0.267 0.733 0.221 Se
0.408 0.918 0.697 Se
0.498 0.502 0.620 Se
0.502 0.498 0.120 Se
0.592 0.082 0.197 Se
0.733 0.267 0.721 Se
0.806 0.868 0.696 Se
0.868 0.806 0.196 Se
0.918 0.408 0.197 Se
```



3.
Here is a relaxed SmDy2Nb crystal from the Alexandria database. Energies are from GGA-PBE.

Computed properties:
space-group type: R-3m
volume: 27.7 A^3/atom
calculated total energy: -5.45 eV/atom
E_form: 0.545 eV per atom

Structure (POSCAR):
```
SmDy2Nb
1.0
1.655 0.955 11.690
-1.655 0.955 11.690
0.000 -1.911 11.690
Sm Dy Nb
1 2 1
direct
0.000 0.000 0.000 Sm
0.418 0.418 0.418 Dy
0.582 0.582 0.582 Dy
0.500 0.500 0.500 Nb
```



4.
Here is a relaxed Sm2DyNb crystal from the Alexandria database. Energies are from GGA-PBE.

Computed properties:
space-group type: R-3m
volume: 28.2 A^3/atom
calculated total energy: -5.47 eV/atom
E_form: 0.556 eV per atom

Structure (POSCAR):
```
Sm2DyNb
1.0
1.669 0.964 11.685
-1.669 0.964 11.685
0.000 -1.927 11.685
Sm Dy Nb
2 1 1
direct
0.083 0.083 0.083 Sm
0.917 0.917 0.917 Sm
0.500 0.500 0.500 Dy
0.000 0.000 0.000 Nb
```



5.
Here is a relaxed DyNbSn2 crystal from the Alexandria database. Energies are from GGA-PBE.

Computed properties:
space-group type: R-3m
volume: 25.0 A^3/atom
calculated total energy: -5.41 eV/atom
E_form: 0.255 eV per atom

Structure (POSCAR):
```
DyNbSn2
1.0
1.603 0.925 11.225
-1.603 0.925 11.225
0.000 -1.851 11.225
Dy Nb Sn
1 1 2
direct
0.000 0.000 0.000 Dy
0.500 0.500 0.500 Nb
0.415 0.415 0.415 Sn
0.585 0.585 0.585 Sn
```



6.
Here is a relaxed DyNbSn2 crystal from the Alexandria database. Energies are from GGA-PBE.

Computed properties:
space-group type: P4/mmm
volume: 23.3 A^3/atom
calculated total energy: -5.90 eV/atom
E_form: -0.226 eV per atom

Structure (POSCAR):
```
DyNbSn2
1.0
3.738 0.000 0.000
0.000 3.738 0.000
0.000 0.000 6.662
Dy Nb Sn
1 1 2
direct
0.000 0.000 0.000 Dy
0.000 0.000 0.500 Nb
0.500 0.500 0.281 Sn
0.500 0.500 0.719 Sn
```



7.
Here is a relaxed Tb2DyNb crystal from the Alexandria database. Energies are from GGA-PBE.

Computed properties:
space-group type: R-3m
volume: 27.4 A^3/atom
calculated total energy: -5.45 eV/atom
E_form: 0.532 eV per atom

Structure (POSCAR):
```
Tb2DyNb
1.0
1.653 0.954 11.582
-1.653 0.954 11.582
0.000 -1.909 11.582
Tb Dy Nb
2 1 1
direct
0.083 0.083 0.083 Tb
0.917 0.917 0.917 Tb
0.500 0.500 0.500 Dy
0.000 0.000 0.000 Nb
```



8.
Here is a relaxed TbDyNb crystal from the Alexandria database. Energies are from GGA-PBE.

Computed properties:
space-group type: Cmcm
volume: 27.5 A^3/atom
calculated total energy: -6.25 eV/atom
E_form: 0.186 eV per atom

Structure (POSCAR):
```
TbDyNb
1.0
1.730 -13.693 0.000
1.730 13.693 0.000
0.000 0.000 3.478
Tb Dy Nb
2 2 2
direct
0.151 0.849 0.750 Tb
0.849 0.151 0.250 Tb
0.445 0.555 0.750 Dy
0.555 0.445 0.250 Dy
0.273 0.727 0.750 Nb
0.727 0.273 0.250 Nb
```



Among the records above, which one has the highest volume? Sm2DyNb